(1)
Below is a geometry-optimized Li3NdGe2 structure, with properties calculated at the PBE level.

Geometry as CIF:
```
data_Li3NdGe2
_cell_length_a 15.070
_cell_length_b 4.302
_cell_length_c 7.999
_cell_angle_alpha 90.00
_cell_angle_beta 115.98
_cell_angle_gamma 90.00
_symmetry_space_group_name_H-M 'C 1 2/m 1'
_symmetry_Int_Tables_number 12
loop_
_symmetry_equiv_pos_as_xyz
'x,y,z'
'-x,-y,-z'
'-x,y,-z'
'x,-y,z'
'x+1/2,y+1/2,z'
'-x+1/2,-y+1/2,-z'
'-x+1/2,y+1/2,-z'
'x+1/2,-y+1/2,z'
loop_
_atom_site_label
_atom_site_fract_x
_atom_site_fract_y
_atom_site_fract_z
Li1 0.040 0.000 0.370
Li2 0.098 0.500 0.688
Li3 0.190 0.500 0.466
Nd1 0.150 0.000 0.061
Ge1 0.024 0.500 0.165
Ge2 0.193 0.000 0.710
```

Values from the calculation:
Total DFT energy (no corrections) (eV/atom): -3.796
Total magnetic moment (μB per formula unit): 0.0
Energy of formation (eV per atom): -0.51
Volume (Å³/f.u.): 116.55


(2)
Below is a geometry-optimized LiNdGe structure, with properties calculated at the PBE level.

Geometry as CIF:
```
data_LiNdGe
_cell_length_a 4.5019
_cell_length_b 4.5019
_cell_length_c 7.5681
_cell_angle_alpha 90.00
_cell_angle_beta 90.00
_cell_angle_gamma 120.00
_symmetry_space_group_name_H-M 'P 63/m m c'
_symmetry_Int_Tables_number 194
_symmetry_space_group_name_Hall '-P 6c 2c'
loop_
_atom_site_label
_atom_site_fract_x
_atom_site_fract_y
_atom_site_fract_z
Li1 0.3333 0.6667 0.2500
Nd1 0.0000 0.0000 0.0000
Ge1 0.3333 0.6667 0.7500
```

Values from the calculation:
Total DFT energy (no corrections) (eV/atom): -4.434
Total magnetic moment (μB per formula unit): 0.0
Energy of formation (eV per atom): -0.67
Volume (Å³/f.u.): 66.41


(3)
Below is a geometry-optimized LiNdGe structure, with properties calculated at the PBE level.

Geometry as CIF:
```
data_LiNdGe
_cell_length_a 6.791
_cell_length_b 6.791
_cell_length_c 6.791
_cell_angle_alpha 90.00
_cell_angle_beta 90.00
_cell_angle_gamma 90.00
_symmetry_space_group_name_H-M 'F -4 3 m'
_symmetry_Int_Tables_number 216
_symmetry_space_group_name_Hall 'F -4 2 3'
loop_
_atom_site_label
_atom_site_fract_x
_atom_site_fract_y
_atom_site_fract_z
Li1 0.000 0.000 0.000
Nd1 0.000 0.000 0.500
Ge1 0.250 0.250 0.250
```

Values from the calculation:
Total DFT energy (no corrections) (eV/atom): -4.316
Total magnetic moment (μB per formula unit): 0.0
Energy of formation (eV per atom): -0.55
Volume (Å³/f.u.): 78.31


(4)
Below is a geometry-optimized LiNdGe structure, with properties calculated at the PBE level.

Geometry as CIF:
```
data_LiNdGe
_cell_length_a 4.108
_cell_length_b 4.108
_cell_length_c 8.314
_cell_angle_alpha 90.00
_cell_angle_beta 90.00
_cell_angle_gamma 90.00
_symmetry_space_group_name_H-M 'I 4 m m'
_symmetry_Int_Tables_number 107
_symmetry_space_group_name_Hall 'I 4 -2'
loop_
_atom_site_label
_atom_site_fract_x
_atom_site_fract_y
_atom_site_fract_z
Li1 0.000 0.000 0.000
Nd1 0.000 0.000 0.669
Ge1 0.000 0.000 0.312
```

Values from the calculation:
Total DFT energy (no corrections) (eV/atom): -4.081
Total magnetic moment (μB per formula unit): 0.0
Energy of formation (eV per atom): -0.31
Volume (Å³/f.u.): 70.17


(5)
Below is a geometry-optimized LiNdGe4 structure, with properties calculated at the PBE level.

Geometry as CIF:
```
data_LiNdGe4
_cell_length_a 7.928
_cell_length_b 7.928
_cell_length_c 7.928
_cell_angle_alpha 90.00
_cell_angle_beta 90.00
_cell_angle_gamma 90.00
_symmetry_space_group_name_H-M 'F -4 3 m'
_symmetry_Int_Tables_number 216
_symmetry_space_group_name_Hall 'F -4 2 3'
loop_
_atom_site_label
_atom_site_fract_x
_atom_site_fract_y
_atom_site_fract_z
Li1 0.000 0.000 0.000
Nd1 0.250 0.250 0.750
Ge1 0.126 0.126 0.374
```

Values from the calculation:
Total DFT energy (no corrections) (eV/atom): -4.502
Total magnetic moment (μB per formula unit): 0.0
Energy of formation (eV per atom): -0.31
Volume (Å³/f.u.): 124.57


(6)
Below is a geometry-optimized Li2NdGe2 structure, with properties calculated at the PBE level.

Geometry as CIF:
```
data_Li2NdGe2
_cell_length_a 4.170
_cell_length_b 4.170
_cell_length_c 11.373
_cell_angle_alpha 90.00
_cell_angle_beta 90.00
_cell_angle_gamma 90.00
_symmetry_space_group_name_H-M 'I 4/m m m'
_symmetry_Int_Tables_number 139
_symmetry_space_group_name_Hall '-I 4 2'
loop_
_atom_site_label
_atom_site_fract_x
_atom_site_fract_y
_atom_site_fract_z
Li1 0.000 0.500 0.250
Nd1 0.000 0.000 0.000
Ge1 0.000 0.000 0.391
```

Values from the calculation:
Total DFT energy (no corrections) (eV/atom): -4.154
Total magnetic moment (μB per formula unit): 0.0
Energy of formation (eV per atom): -0.59
Volume (Å³/f.u.): 98.89


(7)
Below is a geometry-optimized Li3NdGe3 structure, with properties calculated at the PBE level.

Geometry as CIF:
```
data_Li3NdGe3
_cell_length_a 6.669
_cell_length_b 6.669
_cell_length_c 6.669
_cell_angle_alpha 90.00
_cell_angle_beta 90.00
_cell_angle_gamma 90.00
_symmetry_space_group_name_H-M 'P m -3 n'
_symmetry_Int_Tables_number 223
_symmetry_space_group_name_Hall '-P 4n 2 3'
loop_
_atom_site_label
_atom_site_fract_x
_atom_site_fract_y
_atom_site_fract_z
Li1 0.000 0.250 0.500
Nd1 0.000 0.000 0.000
Ge1 0.000 0.500 0.250
```

Values from the calculation:
Total DFT energy (no corrections) (eV/atom): -3.359
Total magnetic moment (μB per formula unit): 0.0
Energy of formation (eV per atom): 0.12
Volume (Å³/f.u.): 148.30


(8)
Below is a geometry-optimized Li2Nd5Ge4 structure, with properties calculated at the PBE level.

Geometry as CIF:
```
data_Li2Nd5Ge4
_cell_length_a 20.440
_cell_length_b 4.272
_cell_length_c 7.164
_cell_angle_alpha 90.00
_cell_angle_beta 110.40
_cell_angle_gamma 90.00
_symmetry_space_group_name_H-M 'C 1 2/m 1'
_symmetry_Int_Tables_number 12
loop_
_symmetry_equiv_pos_as_xyz
'x,y,z'
'-x,-y,-z'
'-x,y,-z'
'x,-y,z'
'x+1/2,y+1/2,z'
'-x+1/2,-y+1/2,-z'
'-x+1/2,y+1/2,-z'
'x+1/2,-y+1/2,z'
loop_
_atom_site_label
_atom_site_fract_x
_atom_site_fract_y
_atom_site_fract_z
Li1 0.065 0.000 0.066
Nd1 0.000 0.000 0.500
Nd2 0.162 0.500 0.422
Nd3 0.162 0.500 0.903
Ge1 0.000 0.500 0.186
Ge2 0.206 0.000 0.207
```

Values from the calculation:
Total DFT energy (no corrections) (eV/atom): -4.705
Total magnetic moment (μB per formula unit): 0.0
Energy of formation (eV per atom): -0.51
Volume (Å³/f.u.): 293.18


(9)
Below is a geometry-optimized LiNd4Ge4 structure, with properties calculated at the PBE level.

Geometry as CIF:
```
data_LiNd4Ge4
_cell_length_a 7.438
_cell_length_b 15.224
_cell_length_c 8.008
_cell_angle_alpha 90.00
_cell_angle_beta 90.00
_cell_angle_gamma 90.00
_symmetry_space_group_name_H-M 'P n m a'
_symmetry_Int_Tables_number 62
loop_
_symmetry_equiv_pos_as_xyz
'x,y,z'
'-x,-y,-z'
'-x+1/2,-y,z+1/2'
'x+1/2,y,-z+1/2'
'x+1/2,-y+1/2,-z+1/2'
'-x+1/2,y+1/2,z+1/2'
'-x,y+1/2,-z'
'x,-y+1/2,z'
loop_
_atom_site_label
_atom_site_fract_x
_atom_site_fract_y
_atom_site_fract_z
Li1 0.160 0.250 0.031
Nd1 0.024 0.601 0.689
Nd2 0.175 0.628 0.179
Ge1 0.014 0.250 0.580
Ge2 0.159 0.037 0.968
Ge3 0.227 0.750 0.867
```

Values from the calculation:
Total DFT energy (no corrections) (eV/atom): -5.189
Total magnetic moment (μB per formula unit): 0.0
Energy of formation (eV per atom): -0.81
Volume (Å³/f.u.): 226.71


(10)
Below is a geometry-optimized Li2NdGe4 structure, with properties calculated at the PBE level.

Geometry as CIF:
```
data_Li2NdGe4
_cell_length_a 6.894
_cell_length_b 6.894
_cell_length_c 5.718
_cell_angle_alpha 90.00
_cell_angle_beta 90.00
_cell_angle_gamma 90.00
_symmetry_space_group_name_H-M 'I 4/m m m'
_symmetry_Int_Tables_number 139
_symmetry_space_group_name_Hall '-I 4 2'
loop_
_atom_site_label
_atom_site_fract_x
_atom_site_fract_y
_atom_site_fract_z
Li1 0.000 0.500 0.250
Nd1 0.000 0.000 0.000
Ge1 0.191 0.191 0.500
```

Values from the calculation:
Total DFT energy (no corrections) (eV/atom): -4.258
Total magnetic moment (μB per formula unit): 0.0
Energy of formation (eV per atom): -0.39
Volume (Å³/f.u.): 135.88


(11)
Below is a geometry-optimized Li6NdGe2 structure, with properties calculated at the PBE level.

Geometry as CIF:
```
data_Li6NdGe2
_cell_length_a 4.327
_cell_length_b 4.327
_cell_length_c 9.260
_cell_angle_alpha 90.00
_cell_angle_beta 90.00
_cell_angle_gamma 90.00
_symmetry_space_group_name_H-M 'P 4/m m m'
_symmetry_Int_Tables_number 123
_symmetry_space_group_name_Hall '-P 4 2'
loop_
_atom_site_label
_atom_site_fract_x
_atom_site_fract_y
_atom_site_fract_z
Li1 0.000 0.000 0.000
Li2 0.000 0.500 0.215
Li3 0.500 0.500 0.000
Nd1 0.000 0.000 0.500
Ge1 0.500 0.500 0.365
```

Values from the calculation:
Total DFT energy (no corrections) (eV/atom): -3.136
Total magnetic moment (μB per formula unit): 0.0
Energy of formation (eV per atom): -0.30
Volume (Å³/f.u.): 173.36


(12)
Below is a geometry-optimized LiNd2Ge2 structure, with properties calculated at the PBE level.

Geometry as CIF:
```
data_LiNd2Ge2
_cell_length_a 4.433
_cell_length_b 6.261
_cell_length_c 8.707
_cell_angle_alpha 90.00
_cell_angle_beta 90.00
_cell_angle_gamma 90.00
_symmetry_space_group_name_H-M 'I m m m'
_symmetry_Int_Tables_number 71
_symmetry_space_group_name_Hall '-I 2 2'
loop_
_atom_site_label
_atom_site_fract_x
_atom_site_fract_y
_atom_site_fract_z
Li1 0.000 0.000 0.000
Nd1 0.000 0.500 0.212
Ge1 0.000 0.209 0.500
```

Values from the calculation:
Total DFT energy (no corrections) (eV/atom): -4.800
Total magnetic moment (μB per formula unit): 0.0
Energy of formation (eV per atom): -0.66
Volume (Å³/f.u.): 120.85